# 1
Tb2NdHo4Tm: optimized geometry, PBE-GGA.

Lattice parameters (Å, degrees): 13.5468 13.2399 6.7743 90.00 120.00 90.00
Closest atoms and distances in Å follow each position.
Space group C2/c (No. 15)
Symmetry-distinct sites (fractional):
Tb  0.0000  0.0000  0.0000 (multiplicity 4)  6 Ho 3.34-3.41, 2 Tb 3.39
Tb  0.2500  0.2500  0.0000 (multiplicity 4)  6 Ho 3.30-3.38, 2 Nd 3.39
Nd  0.2500  0.2500  0.5000 (multiplicity 4)  6 Ho 3.32-3.39, 2 Tb 3.39
Ho  0.9999  0.2524  0.5011 (multiplicity 8)  1 Tm 3.28, 3 Tb 3.34-3.38, 2 Ho 3.37-3.40, 2 Nd 3.39
Ho  0.2480  0.4991  0.9970 (multiplicity 8)  3 Tb 3.30-3.41, 1 Nd 3.32, 2 Tm 3.36-3.37, 2 Ho 3.39
Tm  0.0000  0.5000  0.0000 (multiplicity 4)  6 Ho 3.28-3.37, 2 Tm 3.39

***

# 2
TbNd2HoTm6: optimized geometry, PBE-GGA.

Lattice parameters (Å, degrees): 8.9431 14.9186 9.6170 90.00 99.12 90.00
Closest atoms and distances in Å follow each position.
Space group C2/c (No. 15)
Symmetry-distinct sites (fractional):
Tb  0.0000  0.0179  0.2500 (multiplicity 4)  4 Nd 3.32-3.35, 4 Tm 3.56-3.63
Nd  0.2449  0.0520  0.5430 (multiplicity 8)  6 Tm 3.24-3.62, 2 Tb 3.32-3.35, 1 Ho 3.53
Ho  0.0000  0.4065  0.7500 (multiplicity 4)  8 Tm 3.41-3.71, 2 Nd 3.53
Tm  0.0662  0.1914  0.9424 (multiplicity 8)  8 Tm 3.37-3.73, 1 Nd 3.49, 1 Tb 3.63, 1 Ho 3.71
Tm  0.1015  0.3942  0.1187 (multiplicity 8)  4 Tm 3.20-3.46, 3 Nd 3.24-3.42, 2 Ho 3.41-3.52
Tm  0.2006  0.2237  0.3133 (multiplicity 8)  2 Tm 3.20-3.54, 1 Nd 3.36, 1 Ho 3.44, 1 Tb 3.56

***

# 3
Tb2Nd2HoTm2: optimized geometry, PBE-GGA.

Lattice parameters (Å, degrees): 11.6858 3.5139 11.8243 90.00 109.45 90.00
Closest atoms and distances in Å follow each position.
Space group C2/m (No. 12)
Symmetry-distinct sites (fractional):
Tb  0.0505  0.0000  0.2678 (multiplicity 4)  3 Tm 3.46-3.55, 2 Ho 3.50, 2 Tb 3.51, 4 Nd 3.54-3.61
Nd  0.1698  0.0000  0.5847 (multiplicity 4)  5 Nd 3.51-3.80, 4 Tb 3.54-3.61, 2 Tm 3.61
Ho  0.0000  0.5000  0.0000 (multiplicity 2)  4 Tb 3.50, 6 Tm 3.51-3.53, 2 Ho 3.51
Tm  0.2263  0.5000  0.8652 (multiplicity 4)  3 Tb 3.46-3.55, 3 Ho 3.51-3.53, 4 Tm 3.51-3.52, 2 Nd 3.61

***

Number 1: final energy -4.164 eV/atom, calculated formation energy 437 meV/atom. Number 2: final energy -4.438 eV/atom, calculated formation energy 119 meV/atom. Number 3: final energy -4.531 eV/atom, calculated formation energy 85 meV/atom.